[1]
An optimized crystal structure of Be3VIr, computed with GGA-PBE.

Cell lengths 4.1503, 4.1503, 4.1503 Å; angles 90.00, 90.00, 90.00 degrees
Site moments in Bohr magnetons follow the coordinates.
Atoms (fractional coordinates):
1 Ir 0.0000 0.0000 0.0000  -0.01
2 Be 0.0000 0.5000 0.0000  -0.03
3 Be 0.0000 0.0000 0.5000  -0.03
4 Be 0.5000 0.0000 0.0000  -0.03
5 V 0.5000 0.5000 0.5000  2.44

Output
ΔE to the lowest computed polymorph, eV per atom: 0.000

[2]
An optimized crystal structure of Be2VIr3, computed with GGA-PBE.

Cell lengths 2.8626, 2.8626, 8.8109 Å; angles 90.00, 90.00, 90.00 degrees
Atoms (fractional coordinates):
1 Ir 0.0000 0.0000 0.3160
2 Ir 0.0000 0.0000 0.6840
3 Ir 0.0000 0.0000 0.0000
4 V 0.5000 0.5000 0.5000
5 Be 0.5000 0.5000 0.1479
6 Be 0.5000 0.5000 0.8521

[3]
An optimized crystal structure of BeV2Ir2, computed with GGA-PBE.

Cell lengths 7.2002, 7.2002, 2.7877 Å; angles 90.00, 90.00, 90.00 degrees
Atoms (fractional coordinates):
1 Ir 0.8656 0.6344 0.0000
2 Ir 0.3656 0.8656 0.0000
3 Ir 0.1344 0.3656 0.0000
4 Ir 0.6344 0.1344 0.0000
5 V 0.1638 0.6638 0.5000
6 V 0.6638 0.8362 0.5000
7 V 0.3362 0.1638 0.5000
8 V 0.8362 0.3362 0.5000
9 Be 0.0000 0.0000 0.0000
10 Be 0.5000 0.5000 0.0000

[4]
An optimized crystal structure of YBeVIr2, computed with GGA-PBE.

Cell lengths 4.5858, 4.3523, 4.5858 Å; angles 90.00, 90.00, 90.00 degrees
Atoms (fractional coordinates):
1 Ir 0.5000 0.0000 0.0000
2 Ir 0.0000 0.0000 0.5000
3 V 0.0000 0.0000 0.0000
4 Be 0.0000 0.5000 0.0000
5 Y 0.5000 0.5000 0.5000

[5]
An optimized crystal structure of BeVZn2Ir, computed with GGA-PBE.

Cell lengths 4.1098, 4.1344, 4.1098 Å; angles 90.00, 90.00, 90.00 degrees
Atoms (fractional coordinates):
1 Zn 0.0000 0.0000 0.5000
2 Zn 0.5000 0.0000 0.0000
3 Be 0.0000 0.0000 0.0000
4 Ir 0.0000 0.5000 0.0000
5 V 0.5000 0.5000 0.5000

[6]
An optimized crystal structure of BeIrW2, computed with GGA-PBE.

Cell lengths 4.0475, 3.7527, 3.7527 Å; angles 90.00, 90.00, 90.00 degrees
Atoms (fractional coordinates):
1 W 0.0000 0.5000 0.5000
2 W 0.0000 0.0000 0.0000
3 Be 0.5000 0.5000 0.0000
4 Ir 0.5000 0.0000 0.5000

[7]
An optimized crystal structure of BeIrW4, computed with GGA-PBE.

Cell lengths 5.1876, 5.1876, 5.1876 Å; angles 60.00, 60.00, 60.00 degrees
Atoms (fractional coordinates):
1 Ir 0.0000 0.0000 0.0000
2 Be 0.7500 0.7500 0.7500
3 W 0.3767 0.8699 0.3767
4 W 0.3767 0.3767 0.3767
5 W 0.3767 0.3767 0.8699
6 W 0.8699 0.3767 0.3767

[8]
An optimized crystal structure of Be2IrW, computed with GGA-PBE.

Cell lengths 2.8001, 2.8002, 5.9440 Å; angles 90.00, 90.00, 90.00 degrees
Atoms (fractional coordinates):
1 W 0.5000 0.5000 0.7500
2 Be 0.0000 0.0000 0.0358
3 Be 0.0000 0.0000 0.4642
4 Ir 0.5000 0.5000 0.2500

Output
ΔE to the lowest computed polymorph, eV per atom: 0.037

So what do the calculations give for ρ? Going down the list: 6276, 14849, 11382, 9675, 9107, 16574, 15755, 14041 kg/m³.
So what do the calculations give for electronic total energy? Going down the list: -27.12, -46.62, -80.75, -35.80, -22.15, -38.13, -60.24, -30.19 eV per cell.
So what do the calculations give for ΔE_f? Going down the list: 0.408, -0.578, -0.137, 0.247, 0.420, 0.090, 0.694, -0.230 eV/atom.